First-principles (PBE) data for a relaxed YZrTa2 crystal, as listed in the Alexandria database.

a = 5.8981 Å, b = 5.8981 Å, c = 2.9388 Å
α = 81.40°, β = 81.40°, γ = 118.72°
Closest atoms and distances in Å follow each position.
Fractional coordinates of all 4 atoms:
Ta (0.0000, 0.0000, 0.0000)  4 Ta 2.94-3.01, 2 Y 3.09, 2 Zr 3.09
Ta (0.5000, 0.5000, 0.0000)  4 Ta 2.94-3.01, 2 Zr 3.09, 2 Y 3.09
Y (0.5000, 0.0000, 0.5000)  2 Y 2.94, 2 Zr 3.01, 4 Ta 3.09
Zr (0.0000, 0.5000, 0.5000)  2 Zr 2.94, 2 Y 3.01, 4 Ta 3.09

Values from the calculation:
Offset from the most stable computed form ... 218.8 meV per atom
Energy of formation from the pure elements ... 391 meV/atom